The following is a GGA-PBE calculation of a relaxed UTc2Pb crystal, from Alexandria via LeMat-Bulk.

a = 4.550 Å, b = 4.550 Å, c = 3.592 Å
α = 90.00°, β = 90.00°, γ = 90.00°
Atoms (fractional coordinates):
U  0.000  0.000  0.000
Tc  0.000  0.500  0.500
Tc  0.500  0.000  0.500
Pb  0.500  0.500  0.000

Output
The value obtained for the volume is 74.4 Å³/cell. As for the crystal system: tetragonal. The formation energy from the elements is 125 meV per atom. The density of states at the Fermi level is 0.52 states/eV/atom. For the total magnetic moment, the calculation gives 0.2 Bohr magnetons per cell.